A:
A plane-wave DFT calculation with GGA-PBE was carried out for a geometry-optimized Ta2ZnHg structure.

Computed properties:
* crystal system: tetragonal
* symmetry: No. 99

Structure (POSCAR):
```
Ta2ZnHg
1.0
-0.842 -2.733 -0.194
2.114 -0.519 -1.865
5.374 -2.130 6.685
Zn Ta Hg
1 2 1
Cartesian
2.650 -1.050 3.296 Zn
2.042 -2.183 0.719 Ta
0.025 -0.010 0.031 Ta
4.617 -3.204 3.922 Hg
```

---

B:
A plane-wave DFT calculation with GGA-PBE was carried out for a geometry-optimized Ta2ZnHg structure.

Computed properties:
* crystal system: cubic
* symmetry: No. 216

Structure (POSCAR):
```
Ta2ZnHg
1.0
-3.623 2.992 -0.236
-3.522 -0.803 -3.014
-4.227 -1.292 1.612
Zn Hg Ta
1 1 2
Cartesian
-8.529 0.672 -1.229 Zn
-5.686 0.448 -0.819 Hg
0.000 0.000 0.000 Ta
-2.843 0.224 -0.410 Ta
```

---

Top of the stability list: A, leading by 0.417 eV/atom.